Material: La2NdRh
Method: DFT, PBE
State: optimized geometry

Lattice parameters (Å, degrees): 3.665 3.665 8.997 90.00 90.00 90.00
Atoms (fractional coordinates):
La  0.000  0.000  0.187
La  0.000  0.000  0.813
Nd  0.500  0.500  0.500
Rh  0.500  0.500  0.000

Values from the calculation:
Its crystal system is tetragonal. As for the formation energy: -1.22 eV per formula unit. For the density of states at the Fermi level, the calculation gives 5.0 states/eV per cell. The uncorrected energy comes out at -5.798 eV/atom.